First-principles (GGA-PBE) data for a relaxed structure of Nb2OsRu3, as listed in the Alexandria database.

Computed properties:
Formation enthalpy at 0 K = 3.34 kJ/mol of atoms
Crystal system = monoclinic
Calculated total energy = -0.7226 Ry/atom

```
12
Lattice="6.600 -2.212 0.000 6.600 2.212 0.000 -4.276 0.000 6.408" Properties=species:S:1:pos:R:3 pbc="T T T"
Nb -0.355 0.000 1.249
Nb 2.011 0.000 2.848
Nb 6.914 0.000 3.561
Nb 9.280 0.000 5.159
Os 1.053 0.000 5.538
Os 7.872 0.000 0.870
Ru -0.936 0.000 3.691
Ru -1.604 0.000 6.336
Ru 4.804 0.000 1.826
Ru 4.121 0.000 4.583
Ru 10.529 0.000 0.072
Ru 9.861 0.000 2.717
```